(1)
{"formula": "HfReGe", "functional": "PBE", "state": "relaxed", "m_tot_mub_per_fu": 0.000, "e_form_ev_per_atom": -0.17, "energy_ev_per_cell": -27.5, "e_above_lowest_polymorph_ev_per_fu": 0.839, "lattice_angstrom": [[-0.1150, -1.9362, -2.3803], [4.2701, 0.7839, -0.8439], [-1.1479, -3.2861, 2.7284]], "species": ["Re", "Ge", "Hf"], "fractional_positions": [[0.1667, 0.0000, 0.0000], [0.1667, 0.6667, 0.3333], [0.6666, 0.3333, 0.6667]]}

(2)
{"formula": "Te2Pb", "functional": "PBE", "state": "relaxed", "m_tot_mub_per_fu": 0.000, "raw_formation_energy_ev_per_atom": -0.03, "energy_ev_per_cell": -30.3, "lattice_angstrom": [[4.5796, -7.9321, 0.0000], [4.5796, 7.9321, 0.0000], [0.0000, 0.0000, 4.1799]], "species": ["Te", "Te", "Te", "Te", "Te", "Te", "Pb", "Pb", "Pb"], "fractional_positions": [[0.2578, 0.0000, 0.0000], [0.0000, 0.2578, 0.0000], [0.7422, 0.7422, 0.0000], [0.5202, 0.0000, 0.5000], [0.0000, 0.5202, 0.5000], [0.4798, 0.4798, 0.5000], [0.3333, 0.6667, 0.0000], [0.6667, 0.3333, 0.0000], [0.0000, 0.0000, 0.5000]]}

(3)
{"formula": "Pr2ZrI", "functional": "PBE", "state": "relaxed", "m_tot_mub_per_fu": 1.356, "raw_formation_energy_ev_per_atom": 0.06, "energy_ev_per_cell": -19.4, "lattice_angstrom": [[-3.4752, 0.9080, -0.1234], [-2.0682, -0.4074, 2.9109], [0.8171, 10.8271, 4.3145]], "species": ["Pr", "Pr", "I", "Zr"], "fractional_positions": [[0.0907, 0.0907, 0.7278], [0.9093, 0.9093, 0.2722], [0.5000, 0.5000, 0.5000], [0.0000, 0.0000, 0.0000]]}

(4)
{"formula": "TeIrSe", "functional": "PBE", "state": "relaxed", "m_tot_mub_per_fu": 0.000, "raw_formation_energy_ev_per_atom": 0.30, "energy_ev_per_cell": -14.6, "e_above_lowest_polymorph_ev_per_fu": 1.603, "lattice_angstrom": [[6.7992, 0.0022, 0.0000], [5.2752, 4.2897, 0.0000], [-6.0372, -2.1460, 2.2751]], "species": ["Ir", "Se", "Te"], "fractional_positions": [[0.9970, 0.9970, 0.0000], [0.3770, 0.3770, 0.0000], [0.6260, 0.6260, 0.0000]]}

(5)
{"formula": "NaCuMo2", "functional": "PBE", "state": "relaxed", "m_tot_mub_per_fu": 0.000, "e_form_ev_per_atom": 1.00, "energy_ev_per_cell": -46.2, "e_above_lowest_polymorph_ev_per_fu": 0.000, "lattice_angstrom": [[3.6727, 0.0000, 0.0000], [0.0000, 3.6727, 0.0000], [1.8364, 1.8364, 10.3346]], "species": ["Na", "Na", "Mo", "Mo", "Mo", "Mo", "Cu", "Cu"], "fractional_positions": [[0.5000, 0.5000, 0.0000], [0.2500, 0.7500, 0.5000], [0.6516, 0.1250, 0.2500], [0.0984, 0.6250, 0.2500], [0.3750, 0.3484, 0.7500], [0.8750, 0.9016, 0.7500], [0.0000, 0.0000, 0.0000], [0.7500, 0.2500, 0.5000]]}

(6)
{"formula": "VGaRe3", "functional": "PBE", "state": "relaxed", "m_tot_mub_per_fu": 0.005, "e_form_ev_per_atom": 1.69, "energy_ev_per_cell": -41.0, "e_above_lowest_polymorph_ev_per_fu": 0.000, "lattice_angstrom": [[4.4994, 0.0000, 0.0000], [0.0000, 4.4994, 0.0000], [0.0000, 0.0000, 4.4994]], "species": ["Re", "Re", "Re", "Ga", "V"], "fractional_positions": [[0.0000, 0.5000, 0.0000], [0.0000, 0.0000, 0.5000], [0.5000, 0.0000, 0.0000], [0.5000, 0.5000, 0.5000], [0.0000, 0.0000, 0.0000]]}

(7)
{"formula": "CuAsRh", "functional": "PBE", "state": "relaxed", "m_tot_mub_per_fu": 0.000, "e_form_ev_per_atom": -0.13, "energy_ev_per_cell": -16.5, "lattice_angstrom": [[-2.2597, -0.6633, 4.1262], [-3.4218, -3.2428, 0.5892], [4.3946, 0.4194, -1.7560]], "species": ["As", "Cu", "Rh"], "fractional_positions": [[0.0098, 0.0098, 0.0000], [0.3344, 0.3344, 0.0000], [0.6558, 0.6558, 0.0000]]}

(8)
{"formula": "K3Tm2InSe6", "functional": "PBE", "state": "relaxed", "m_tot_mub_per_fu": 0.000, "raw_formation_energy_ev_per_atom": -1.43, "energy_ev_per_cell": -53.1, "lattice_angstrom": [[7.1891, -0.0005, 0.0004], [-3.5933, 6.2267, 0.0004], [-1.1987, -2.0756, 7.6931]], "species": ["K", "K", "K", "Tm", "Tm", "In", "Se", "Se", "Se", "Se", "Se", "Se"], "fractional_positions": [[0.1667, 0.8333, 0.5000], [0.8333, 0.1667, 0.5000], [0.5000, 0.5000, 0.5000], [0.3334, 0.6666, 0.0000], [0.6666, 0.3334, 0.0000], [0.0000, 0.0000, 0.0000], [0.9327, 0.6022, 0.7981], [0.7367, 0.7367, 0.2020], [0.0673, 0.3978, 0.2019], [0.6022, 0.9327, 0.7981], [0.2633, 0.2633, 0.7980], [0.3978, 0.0673, 0.2019]]}